Compound: Na3Pr2PuSe6
Source: Alexandria
Functional: PBE
Structure: optimized geometry

The raw total energy is -135.23 eV for the cell shown. The size of the total moment is 0.417 μB per atom. As for the density of states at the Fermi level: 13.1 states/eV/f.u.

The structure belongs to space group C2/m (No. 12); the cell edges are 7.437, 12.877 and 7.410 Å and the angles 90.00°, 109.55° and 90.00°. The distinct sites, in fractional coordinates, are Na at (0.000, 0.000, 0.000), Na at (0.000, 0.333, 0.000), Pr at (0.000, 0.167, 0.500), Pu at (0.000, 0.500, 0.500), Se at (0.242, 0.336, 0.736) and Se at (0.249, 0.500, 0.265).